[1]
Computed, not measured: a geometry-optimized CeHfMoN3 structure at the PBE-GGA level of DFT.

Cell: 6.9871 3.1613 8.0453 Å, 90.00 96.93 90.00°
With the nearest neighbours (Å) after each atom.
Fractional positions:
Ce1 0.1540 0.2500 0.1821  7 N 2.45-2.60
Ce2 0.8460 0.7500 0.8179  7 N 2.45-2.60
Hf1 0.3624 0.7500 0.8635  5 N 2.11-2.22
Hf2 0.6376 0.2500 0.1365  5 N 2.11-2.22
Mo1 0.1315 0.2500 0.5805  4 N 2.10-2.22
Mo2 0.8685 0.7500 0.4195  4 N 2.10-2.22
N1 0.1412 0.2500 0.8577  2 Hf 2.21, 1 Mo 2.22
N2 0.1696 0.7500 0.4162  3 Mo 2.10-2.11
N3 0.4139 0.7500 0.1272  3 Hf 2.11-2.22
N4 0.5861 0.2500 0.8728  3 Hf 2.11-2.22
N5 0.8304 0.2500 0.5838  3 Mo 2.10-2.11
N6 0.8588 0.7500 0.1423  2 Hf 2.21, 1 Mo 2.22

Results
- space group = P2_1/m, No. 11
- magnetization (μB/cell) = 0.00
- D(E_F) (states/eV/atom) = 0.60
- formation energy without anion corrections (meV/atom) = -1141

[2]
Computed, not measured: a geometry-optimized Ti2MnV structure at the PBE-GGA level of DFT.

Cell: 5.4266 5.4266 5.4266 Å, 103.57 103.57 122.06°
With the nearest neighbours (Å) after each atom.
Fractional positions:
Ti1 0.0988 0.6250 0.9738  2 Mn 2.35, 2 V 2.59
Ti2 0.3750 0.3488 0.4738  2 Mn 2.35, 2 V 2.59
Ti3 0.6512 0.1250 0.0262  2 Mn 2.35, 2 V 2.59
Ti4 0.8750 0.9012 0.5262  2 Mn 2.35, 2 V 2.59
Mn1 0.0000 0.0000 0.0000  4 Ti 2.35
Mn2 0.7500 0.2500 0.5000  4 Ti 2.35
V1 0.2500 0.7500 0.5000  4 Ti 2.59, 2 Mn 2.63
V2 0.5000 0.5000 0.0000  4 Ti 2.59, 2 Mn 2.63

Results
- total energy (eV per cell) = -65.129
- space group = I-42d, No. 122
- magnetization (μB/cell) = 0.21
- D(E_F) (states/eV/atom) = 1.32

[3]
Computed, not measured: a geometry-optimized NaCoC3 structure at the PBE-GGA level of DFT.

Cell: 3.7633 3.7633 3.7633 Å, 90.00 90.00 90.00°
With the nearest neighbours (Å) after each atom.
Fractional positions:
Na1 0.0000 0.0000 0.0000  12 C 2.66
Co1 0.5000 0.5000 0.5000  6 C 1.88
C1 0.0000 0.5000 0.5000  2 Co 1.88
C2 0.5000 0.0000 0.5000  2 Co 1.88
C3 0.5000 0.5000 0.0000  2 Co 1.88

Results
- total energy (eV per cell) = -26.276
- space group = Pm-3m, No. 221
- magnetization (μB/cell) = 1.98
- D(E_F) (states/eV/atom) = 1.04

[4]
Computed, not measured: a geometry-optimized Cd5In2Hg2 structure at the PBE-GGA level of DFT.

Cell: 7.8222 7.8222 7.6111 Å, 109.06 109.06 31.83°
With the nearest neighbours (Å) after each atom.
Fractional positions:
Cd1 0.0000 0.0000 0.0000  6 Cd 2.95-3.21, 4 In 3.23
Cd2 0.1787 0.1787 0.9195  6 Cd 2.95-3.20, 1 Hg 3.08, 2 In 3.10
Cd3 0.3423 0.3423 0.7848  5 Cd 2.97-3.21, 3 Hg 3.06-3.09, 1 In 3.09
Cd4 0.6577 0.6577 0.2152  5 Cd 2.97-3.21, 3 Hg 3.06-3.09, 1 In 3.09
Cd5 0.8213 0.8213 0.0805  6 Cd 2.95-3.20, 1 Hg 3.08, 2 In 3.10
In1 0.4679 0.4679 0.2894  1 In 3.02, 5 Cd 3.09-3.23, 2 Hg 3.35
In2 0.5321 0.5321 0.7106  1 In 3.02, 5 Cd 3.09-3.23, 2 Hg 3.35
Hg1 0.1430 0.1430 0.4960  4 Cd 3.06-3.09, 2 In 3.35
Hg2 0.8570 0.8570 0.5040  4 Cd 3.06-3.09, 2 In 3.35

Results
- total energy (eV per cell) = -10.342
- space group = C2/m, No. 12
- magnetization (μB/cell) = 0.00
- D(E_F) (states/eV/atom) = 0.37